Record 1
## AcSiIr (PBE-GGA)

Data for a relaxed AcSiIr crystal.

Unit cell a=4.914 b=4.914 c=4.914 alpha=60.00 beta=60.00 gamma=60.00
Fractional positions:
Ac 0.000 0.000 0.000
Ir 0.250 0.250 0.250
Si 0.750 0.750 0.750

***

Record 2
## CuSiNiPt (PBE-GGA)

Data for a relaxed CuSiNiPt crystal.

Unit cell a=4.153 b=4.153 c=4.153 alpha=60.00 beta=60.00 gamma=60.00
Fractional positions:
Cu 0.750 0.750 0.750
Ni 0.500 0.500 0.500
Pt 0.250 0.250 0.250
Si 0.000 0.000 0.000

***

Record 3
## GdHoPbC (PBE-GGA)

Data for a relaxed GdHoPbC crystal.

Unit cell a=3.646 b=3.646 c=16.215 alpha=90.00 beta=90.00 gamma=120.00
Fractional positions:
C 0.000 0.000 0.000
C 0.000 0.000 0.500
Gd 0.333 0.667 0.416
Gd 0.667 0.333 0.584
Ho 0.333 0.667 0.082
Ho 0.667 0.333 0.918
Pb 0.667 0.333 0.248
Pb 0.333 0.667 0.752

***

Record 4
## TbBr2O (PBE-GGA)

Data for a relaxed TbBr2O crystal.

Unit cell a=7.373 b=7.373 c=8.313 alpha=107.51 beta=107.51 gamma=33.14
Site moments in Bohr magnetons follow the coordinates.
Fractional positions:
Br 0.145 0.145 0.078  0.05
Br 0.848 0.848 0.419  0.27
Br 0.152 0.152 0.581  0.27
Br 0.855 0.855 0.922  0.05
O 0.499 0.499 0.305  0.49
O 0.501 0.501 0.695  0.49
Tb 0.000 0.000 0.249  -0.02
Tb 0.000 0.000 0.751  -0.02

***

Record 5
## CuSbOsW (PBE-GGA)

Data for a relaxed CuSbOsW crystal.

Unit cell a=4.498 b=4.498 c=4.498 alpha=60.00 beta=60.00 gamma=60.00
Fractional positions:
Cu 0.750 0.750 0.750
Os 0.500 0.500 0.500
Sb 0.000 0.000 0.000
W 0.250 0.250 0.250

***

Record 6
## BaLuCuTe3 (PBE-GGA)

Data for a relaxed BaLuCuTe3 crystal.

Unit cell a=8.572 b=4.405 c=10.702 alpha=90.00 beta=106.87 gamma=90.00
Fractional positions:
Ba 0.746 0.250 0.299
Ba 0.254 0.750 0.701
Cu 0.424 0.750 0.407
Cu 0.576 0.250 0.593
Lu 0.193 0.250 0.157
Lu 0.807 0.750 0.843
Te 0.940 0.750 0.141
Te 0.432 0.750 0.159
Te 0.258 0.250 0.448
Te 0.742 0.750 0.552
Te 0.568 0.250 0.841
Te 0.060 0.250 0.859

***

| no. | raw total energy (eV per cell) |
| --- | --- |
| 1 | -16.45 |
| 2 | -21.79 |
| 3 | -48.14 |
| 4 | -39.32 |
| 5 | -29.64 |
| 6 | -53.44 |